Below is a geometry-optimized PuMgP2O8 structure, with properties calculated at the GGA-PBE level.

Raw formation energy (eV per atom): -2.533
SG: No. 164
Theoretical density (g/cm3): 5.080

Lattice parameters (Å, degrees): 5.1168 5.1168 6.6068 90.00 90.00 120.00
Last column: nearest neighbours and their distance in Å.
Positions (direct):
Pu: 0.0000 0.0000 0.0000  6 O 2.40
Mg: 0.0000 0.0000 0.5000  6 O 2.06
P: 0.6667 0.3333 0.2117  4 O 1.54
P: 0.3333 0.6667 0.7883  4 O 1.54
O: 0.3333 0.6667 0.0220  1 P 1.54
O: 0.3356 0.1683 0.2847  1 P 1.54
O: 0.8317 0.1673 0.2847  1 P 1.54
O: 0.6667 0.3333 0.9780  1 P 1.54
O: 0.1683 0.8327 0.7153  1 P 1.54
O: 0.6644 0.8317 0.7153  1 P 1.54
O: 0.1673 0.3356 0.7153  1 P 1.54
O: 0.8327 0.6644 0.2847  1 P 1.54